(1)
# Fe3BiOs | the Alexandria database | PBE | optimized geometry
data_Fe3BiOs
_symmetry_space_group_name_H-M 'P m -3 m'
_symmetry_Int_Tables_number 221
_symmetry_space_group_name_Hall '-P 4 2 3'
_cell_length_a 4.662
_cell_length_b 4.662
_cell_length_c 4.662
_cell_angle_alpha 90.00
_cell_angle_beta 90.00
_cell_angle_gamma 90.00
loop_
_atom_site_label
_atom_site_fract_x
_atom_site_fract_y
_atom_site_fract_z
Fe1 0.000 0.000 0.500
Bi1 0.500 0.500 0.500
Os1 0.000 0.000 0.000
# theoretical density	9.3	g/cm³
# energy	-6.885	eV/atom
# energy of formation	6.1	eV/f.u.
# magnetic moment	8.68	μB per formula unit



(2)
# FeBi3Os | the Alexandria database | PBE | optimized geometry
data_FeBi3Os
_symmetry_space_group_name_H-M 'P m -3 m'
_symmetry_Int_Tables_number 221
_symmetry_space_group_name_Hall '-P 4 2 3'
_cell_length_a 5.305
_cell_length_b 5.305
_cell_length_c 5.305
_cell_angle_alpha 90.00
_cell_angle_beta 90.00
_cell_angle_gamma 90.00
loop_
_atom_site_label
_atom_site_fract_x
_atom_site_fract_y
_atom_site_fract_z
Fe1 0.000 0.000 0.000
Bi1 0.000 0.500 0.500
Os1 0.500 0.500 0.500
# theoretical density	9.7	g/cm³
# energy	-5.020	eV/atom
# energy of formation	6.2	eV/f.u.
# magnetic moment	3.02	μB per formula unit



(3)
# FeBiOs2 | the Alexandria database | PBE | optimized geometry
data_FeBiOs2
_symmetry_space_group_name_H-M 'I -4 2 d'
_symmetry_Int_Tables_number 122
_symmetry_space_group_name_Hall 'I -4 2bw'
_cell_length_a 5.634
_cell_length_b 5.634
_cell_length_c 11.342
_cell_angle_alpha 90.00
_cell_angle_beta 90.00
_cell_angle_gamma 90.00
loop_
_atom_site_label
_atom_site_fract_x
_atom_site_fract_y
_atom_site_fract_z
Fe1 0.000 0.000 0.000
Bi1 0.000 0.000 0.500
Os1 0.178 0.250 0.125
# theoretical density	11.9	g/cm³
# energy	-7.362	eV/atom
# energy of formation	5.4	eV/f.u.
# magnetic moment	0.00	μB per formula unit



(4)
# FeBi2OsPt | the Alexandria database | PBE | optimized geometry
data_FeBi2OsPt
_symmetry_space_group_name_H-M 'P 4/m m m'
_symmetry_Int_Tables_number 123
_symmetry_space_group_name_Hall '-P 4 2'
_cell_length_a 5.266
_cell_length_b 5.266
_cell_length_c 4.697
_cell_angle_alpha 90.00
_cell_angle_beta 90.00
_cell_angle_gamma 90.00
loop_
_atom_site_label
_atom_site_fract_x
_atom_site_fract_y
_atom_site_fract_z
Fe1 0.000 0.000 0.000
Bi1 0.000 0.500 0.500
Os1 0.500 0.500 0.000
Pt1 0.000 0.000 0.500
# theoretical density	11.0	g/cm³
# energy	-5.206	eV/atom
# energy of formation	7.5	eV/f.u.
# magnetic moment	5.19	μB per formula unit



(5)
# FeBiTeOs2 | the Alexandria database | PBE | optimized geometry
data_FeBiTeOs2
_symmetry_space_group_name_H-M 'P 4/m m m'
_symmetry_Int_Tables_number 123
_symmetry_space_group_name_Hall '-P 4 2'
_cell_length_a 5.034
_cell_length_b 5.034
_cell_length_c 4.815
_cell_angle_alpha 90.00
_cell_angle_beta 90.00
_cell_angle_gamma 90.00
loop_
_atom_site_label
_atom_site_fract_x
_atom_site_fract_y
_atom_site_fract_z
Fe1 0.000 0.000 0.000
Bi1 0.000 0.000 0.500
Te1 0.500 0.500 0.000
Os1 0.000 0.500 0.500
# theoretical density	10.5	g/cm³
# energy	-5.268	eV/atom
# formation energy from raw total energies	2321	meV per atom
# magnetic moment	3.04	μB per formula unit



(6)
# TiFe2BiOs | the Alexandria database | PBE | optimized geometry
data_TiFe2BiOs
_symmetry_space_group_name_H-M 'P 4/m m m'
_symmetry_Int_Tables_number 123
_symmetry_space_group_name_Hall '-P 4 2'
_cell_length_a 4.536
_cell_length_b 4.536
_cell_length_c 4.726
_cell_angle_alpha 90.00
_cell_angle_beta 90.00
_cell_angle_gamma 90.00
loop_
_atom_site_label
_atom_site_fract_x
_atom_site_fract_y
_atom_site_fract_z
Ti1 0.000 0.000 0.000
Fe1 0.000 0.500 0.500
Bi1 0.500 0.500 0.000
Os1 0.000 0.000 0.500
# theoretical density	9.5	g/cm³
# energy	-6.961	eV/atom
# energy of formation	5.1	eV/f.u.
# magnetic moment	0.00	μB per formula unit



(7)
# Fe2BiP2 | the Alexandria database | PBE | optimized geometry
data_Fe2BiP2
_symmetry_space_group_name_H-M 'I 4/m m m'
_symmetry_Int_Tables_number 139
_symmetry_space_group_name_Hall '-I 4 2'
_cell_length_a 3.529
_cell_length_b 3.529
_cell_length_c 12.515
_cell_angle_alpha 90.00
_cell_angle_beta 90.00
_cell_angle_gamma 90.00
loop_
_atom_site_label
_atom_site_fract_x
_atom_site_fract_y
_atom_site_fract_z
Fe1 0.000 0.000 0.145
Bi1 0.000 0.000 0.500
P1 0.000 0.500 0.250
# theoretical density	8.2	g/cm³
# energy	-6.396	eV/atom
# energy of formation	-0.4	eV/f.u.
# magnetic moment	0.00	μB per formula unit



(8)
# Fe2BiP | the Alexandria database | PBE | optimized geometry
data_Fe2BiP
_symmetry_space_group_name_H-M 'I -4 2 d'
_symmetry_Int_Tables_number 122
_symmetry_space_group_name_Hall 'I -4 2bw'
_cell_length_a 4.510
_cell_length_b 4.510
_cell_length_c 14.825
_cell_angle_alpha 90.00
_cell_angle_beta 90.00
_cell_angle_gamma 90.00
loop_
_atom_site_label
_atom_site_fract_x
_atom_site_fract_y
_atom_site_fract_z
Fe1 0.102 0.250 0.125
Bi1 0.000 0.000 0.500
P1 0.000 0.000 0.000
# theoretical density	7.7	g/cm³
# energy	-6.300	eV/atom
# energy of formation	1.0	eV/f.u.
# magnetic moment	4.28	μB per formula unit



(9)
# Fe3BiP | the Alexandria database | PBE | optimized geometry
data_Fe3BiP
_symmetry_space_group_name_H-M 'P m -3 m'
_symmetry_Int_Tables_number 221
_symmetry_space_group_name_Hall '-P 4 2 3'
_cell_length_a 4.310
_cell_length_b 4.310
_cell_length_c 4.310
_cell_angle_alpha 90.00
_cell_angle_beta 90.00
_cell_angle_gamma 90.00
loop_
_atom_site_label
_atom_site_fract_x
_atom_site_fract_y
_atom_site_fract_z
Fe1 0.000 0.000 0.500
Bi1 0.500 0.500 0.500
P1 0.000 0.000 0.000
# theoretical density	8.4	g/cm³
# energy	-6.691	eV/atom
# energy of formation	1.2	eV/f.u.
# magnetic moment	5.89	μB per formula unit



(10)
# FeBiP2 | the Alexandria database | PBE | optimized geometry
data_FeBiP2
_symmetry_space_group_name_H-M 'I -4 2 d'
_symmetry_Int_Tables_number 122
_symmetry_space_group_name_Hall 'I -4 2bw'
_cell_length_a 5.696
_cell_length_b 5.696
_cell_length_c 10.736
_cell_angle_alpha 90.00
_cell_angle_beta 90.00
_cell_angle_gamma 90.00
loop_
_atom_site_label
_atom_site_fract_x
_atom_site_fract_y
_atom_site_fract_z
Fe1 0.000 0.000 0.000
Bi1 0.000 0.000 0.500
P1 0.153 0.250 0.125
# theoretical density	6.2	g/cm³
# energy	-5.697	eV/atom
# energy of formation	0.4	eV/f.u.
# magnetic moment	0.00	μB per formula unit



(11)
# FeBi3P | the Alexandria database | PBE | optimized geometry
data_FeBi3P
_symmetry_space_group_name_H-M 'P m -3 m'
_symmetry_Int_Tables_number 221
_symmetry_space_group_name_Hall '-P 4 2 3'
_cell_length_a 5.073
_cell_length_b 5.073
_cell_length_c 5.073
_cell_angle_alpha 90.00
_cell_angle_beta 90.00
_cell_angle_gamma 90.00
loop_
_atom_site_label
_atom_site_fract_x
_atom_site_fract_y
_atom_site_fract_z
Fe1 0.000 0.000 0.000
Bi1 0.000 0.000 0.500
P1 0.500 0.500 0.500
# theoretical density	9.1	g/cm³
# energy	-4.469	eV/atom
# energy of formation	3.2	eV/f.u.
# magnetic moment	1.30	μB per formula unit



(12)
# FeBi3P | the Alexandria database | PBE | optimized geometry
data_FeBi3P
_symmetry_space_group_name_H-M 'P m -3 m'
_symmetry_Int_Tables_number 221
_symmetry_space_group_name_Hall '-P 4 2 3'
_cell_length_a 5.373
_cell_length_b 5.373
_cell_length_c 5.373
_cell_angle_alpha 90.00
_cell_angle_beta 90.00
_cell_angle_gamma 90.00
loop_
_atom_site_label
_atom_site_fract_x
_atom_site_fract_y
_atom_site_fract_z
Fe1 0.000 0.000 0.000
Bi1 0.000 0.500 0.500
P1 0.500 0.500 0.500
# theoretical density	7.6	g/cm³
# energy	-4.084	eV/atom
# energy of formation	5.1	eV/f.u.
# magnetic moment	2.97	μB per formula unit